No. 1
HfIn2C (PBE, optimized geometry); DOS at the Fermi energy = 0.41 states/eV per atom; magnetization = 0.00 μB per cell; ΔH_f (0 K) = 57.3 kJ per mole of atoms
1.0
-4.2497 4.2497 2.2650
4.2497 -4.2497 2.2650
4.2497 4.2497 -2.2650
Hf In C
2 4 2
direct
0.0000 0.0000 0.0000
0.7500 0.2500 0.5000
0.2348 0.6250 0.1098
0.3750 0.4848 0.6098
0.5152 0.1250 0.8902
0.8750 0.7652 0.3902
0.2500 0.7500 0.5000
0.5000 0.5000 0.0000



No. 2
Hf6In3C (PBE, optimized geometry); DOS at the Fermi energy = 0.68 states/eV per atom; magnetization = 0.00 μB per cell; ΔH_f (0 K) = -12.5 kJ per mole of atoms
1.0
5.8282 0.0000 0.0000
0.0000 7.8489 0.0000
-5.3293 0.0000 9.3418
Hf In C
12 6 2
direct
0.0667 0.0689 0.2190
0.0667 0.4311 0.7190
0.1805 0.7440 0.0663
0.1805 0.7560 0.5663
0.3837 0.1394 0.0405
0.3837 0.3606 0.5405
0.6163 0.6394 0.4595
0.6163 0.8606 0.9595
0.8195 0.2440 0.4337
0.8195 0.2560 0.9337
0.9333 0.5689 0.2810
0.9333 0.9311 0.7810
0.3158 0.0976 0.7205
0.3158 0.4024 0.2205
0.5000 0.0000 0.5000
0.5000 0.5000 0.0000
0.6842 0.5976 0.7795
0.6842 0.9024 0.2795
0.0000 0.0000 0.0000
0.0000 0.5000 0.5000



No. 3
HfIn3C (PBE, optimized geometry); DOS at the Fermi energy = 2.16 states/eV per atom; magnetization = 0.00 μB per cell; ΔH_f (0 K) = 94.7 kJ per mole of atoms; distance to the lowest polymorph of the same formula = 0.000 eV/atom
1.0
4.7209 0.0000 0.0000
0.0000 4.7209 0.0000
0.0000 0.0000 4.7209
Hf In C
1 3 1
direct
0.0000 0.0000 0.0000
0.0000 0.5000 0.5000
0.5000 0.0000 0.5000
0.5000 0.5000 0.0000
0.5000 0.5000 0.5000